Entry 1:
# MnHgSe

A relaxed MnHgSe crystal (PBE, Alexandria).

```
3
Lattice="6.814 0.023 0.000 4.899 4.736 0.000 -5.857 -2.380 2.544" Properties=species:S:1:pos:R:3 pbc="T T T"
Hg 0.091 0.037 0.000
Mn 2.658 1.080 0.000
Se 8.964 3.642 0.000
```

Computed properties:
For the formation energy (no corrections), the calculation gives -0.095 eV/atom. Its electronic total energy is -4.4134 eV per atom. The value obtained for the theoretical density is 6.79 g/cm3. The space group is I4mm, No. 107.

---

Entry 2:
# KMoPb2

A relaxed KMoPb2 crystal (PBE, Alexandria).

```
8
Lattice="6.605 0.000 0.000 0.000 6.605 0.000 3.302 3.302 8.319" Properties=species:S:1:pos:R:3 pbc="T T T"
Mo 0.000 0.000 0.000
Pb 4.954 3.559 6.240
Pb 8.256 3.046 6.240
K 3.302 6.605 4.160
Mo 6.605 3.302 4.160
Pb 6.861 4.954 2.080
K 3.302 3.302 0.000
Pb 6.348 1.651 2.080
```

Computed properties:
The value obtained for the calculated formation energy is 0.696 eV/atom. Its electronic total energy is -4.1403 eV per atom. The value obtained for the theoretical density is 5.03 g/cm3. The space group is I-42d, No. 122.

---

Entry 3:
# Eu2YSc

A relaxed Eu2YSc crystal (PBE, Alexandria).

```
4
Lattice="3.592 0.000 0.000 0.000 3.592 0.000 0.000 0.000 10.350" Properties=species:S:1:pos:R:3 pbc="T T T"
Eu 0.000 0.000 2.456
Sc 1.796 1.796 0.000
Eu 0.000 0.000 7.893
Y 1.796 1.796 5.175
```

Computed properties:
The value obtained for the calculated formation energy is 0.172 eV/atom. Its electronic total energy is -8.1645 eV per atom. The value obtained for the theoretical density is 5.44 g/cm3. The space group is P4/mmm, No. 123.

---

Entry 4:
# Ba2SrMnCl

A relaxed Ba2SrMnCl crystal (PBE, Alexandria).

```
5
Lattice="6.419 0.000 0.000 0.000 4.336 0.000 0.000 0.000 6.419" Properties=species:S:1:pos:R:3 pbc="T T T"
Cl 0.000 0.000 0.000
Ba 3.209 0.000 0.000
Mn 0.000 2.168 0.000
Ba 0.000 0.000 3.209
Sr 3.209 2.168 3.209
```

Computed properties:
For the formation energy (no corrections), the calculation gives 0.102 eV/atom. Its electronic total energy is -3.2071 eV per atom. The value obtained for the theoretical density is 4.21 g/cm3. The space group is P4/mmm, No. 123.

---

Entry 5:
# SmGd4Dy

A relaxed SmGd4Dy crystal (PBE, Alexandria).

```
6
Lattice="6.596 0.000 0.000 3.298 5.712 0.000 3.298 1.904 5.385" Properties=species:S:1:pos:R:3 pbc="T T T"
Gd 6.596 3.808 0.670
Gd 6.596 1.901 3.367
Dy 0.000 0.000 0.000
Sm 3.298 1.904 1.346
Gd 4.944 4.762 3.367
Gd 8.247 4.762 3.367
```

Computed properties:
The value obtained for the calculated formation energy is 0.258 eV/atom. Its electronic total energy is -10.6825 eV per atom. The value obtained for the theoretical density is 7.71 g/cm3. The space group is F-43m, No. 216.

---

Entry 6:
# Nd8BiTe4As3

A relaxed Nd8BiTe4As3 crystal (PBE, Alexandria).

```
16
Lattice="-7.030 5.308 0.362 -5.390 -7.104 -0.517 6.126 0.361 6.329" Properties=species:S:1:pos:R:3 pbc="T T T"
Nd -6.144 -1.015 2.935
As -3.147 -0.717 3.087
Nd -3.053 -0.953 6.079
Nd 0.312 -3.493 5.906
Nd -0.150 -0.419 3.239
As -6.210 -0.898 -0.078
Te -0.452 2.835 3.345
Te -3.515 2.654 0.181
Nd -6.606 2.058 0.268
Nd -3.674 2.231 3.297
Te 0.000 0.000 0.000
Te 3.063 0.181 3.165
Bi -2.695 -3.552 -0.259
Nd -2.620 -3.666 2.877
As 0.368 -3.371 2.906
Nd -3.242 -0.482 0.095
```

Computed properties:
For the formation energy (no corrections), the calculation gives -1.444 eV/atom. Its electronic total energy is -5.7279 eV per atom. The value obtained for the theoretical density is 7.05 g/cm3. The space group is R-3m, No. 166.